# Tb2Cu4Si3Ge (PBE-GGA, optimized geometry)
# total magnetic moment	0.00	μB/f.u.
# uncorrected formation energy	-0.521	eV/atom
data_Tb2Cu4Si3Ge
_chemical_formula_sum 'Tb2 Cu4 Si3 Ge1'
_symmetry_space_group_name_H-M 'P -4 m 2'
_symmetry_Int_Tables_number 115
_cell_length_a 4.040
_cell_length_b 4.040
_cell_length_c 9.964
_cell_angle_alpha 90.00
_cell_angle_beta 90.00
_cell_angle_gamma 90.00
loop_
_symmetry_equiv_pos_as_xyz
'x,y,z'
'y,-x,-z'
'-x,-y,z'
'-y,x,-z'
'-x,y,z'
'-y,-x,-z'
'x,-y,z'
'y,x,-z'
loop_
_atom_site_label
_atom_site_type_symbol
_atom_site_fract_x
_atom_site_fract_y
_atom_site_fract_z
Tb1 Tb 0.000 0.500 0.244
Cu1 Cu 0.000 0.000 0.000
Cu2 Cu 0.000 0.500 0.638
Cu3 Cu 0.500 0.500 0.000
Si1 Si 0.000 0.500 0.870
Si2 Si 0.500 0.500 0.500
Ge1 Ge 0.000 0.000 0.500